The following is a PBE calculation of a geometry-optimized Cs4IO structure, from Alexandria via LeMat-Bulk.

Cell: 8.6409 8.6295 11.4929 Å, 112.05 104.43 90.00°
Atoms (fractional coordinates):
O  0.7910  0.4104  0.8208
O  0.2090  0.5896  0.1792
Cs  0.4452  0.8436  0.2317
Cs  0.0000  0.7129  0.0000
Cs  0.5548  0.6119  0.7683
Cs  0.1180  0.7023  0.4045
Cs  0.0000  0.2871  0.0000
Cs  0.8820  0.2977  0.5955
Cs  0.4452  0.3881  0.2317
Cs  0.5548  0.1564  0.7683
I  0.7212  0.7671  0.5343
I  0.2788  0.2329  0.4657

Output
volume	63.75	Å³ per atom
formation energy (no corrections)	-1000	meV per atom

The following is a PBE calculation of a geometry-optimized RbTl2IrO8 structure, from Alexandria via LeMat-Bulk.

Cell: 5.8511 5.3938 7.9417 Å, 57.41 102.27 106.31°
Each line ends with the local moment (μB).
Atoms (fractional coordinates):
Tl  0.4332  0.6395  0.1316  0.00
Tl  0.5668  0.3605  0.8684  0.00
O  0.5388  0.1301  0.4913  0.58
O  0.4612  0.8699  0.5087  0.58
O  0.2617  0.2659  0.0555  0.00
O  0.7383  0.7341  0.9445  0.00
O  0.7649  0.9915  0.1506  0.01
O  0.2351  0.0085  0.8494  0.01
O  0.1065  0.6663  0.2295  0.01
O  0.8935  0.3337  0.7705  0.01
Rb  0.0000  0.0000  0.5000  0.00
Ir  0.0000  0.0000  0.0000  0.05

Output
volume	16.84	Å³ per atom
formation energy (no corrections)	-630	meV per atom

The following is a PBE calculation of a geometry-optimized Rb2U2Te6Pd structure, from Alexandria via LeMat-Bulk.

Cell: 7.2460 7.2460 8.9654 Å, 98.28 98.28 112.88°
Each line ends with the local moment (μB).
Atoms (fractional coordinates):
Te  0.3187  0.3187  0.2563  -0.10
Te  0.6362  0.9377  0.3195  -0.06
Te  0.6813  0.6813  0.7437  -0.10
Te  0.0623  0.3638  0.6805  -0.06
Te  0.3638  0.0623  0.6805  -0.06
Te  0.9377  0.6362  0.3195  -0.06
Rb  0.8116  0.1884  0.0000  0.00
Rb  0.1884  0.8116  0.0000  0.00
Pd  0.0000  0.0000  0.5000  0.04
U  0.3366  0.6634  0.5000  2.16
U  0.6634  0.3366  0.5000  2.16

Output
volume	38.06	Å³ per atom
formation energy (no corrections)	-668	meV per atom

The following is a PBE calculation of a geometry-optimized PSe structure, from Alexandria via LeMat-Bulk.

Cell: 8.4308 8.4308 8.4308 Å, 29.53 29.53 29.53°
Atoms (fractional coordinates):
P  0.0464  0.0464  0.0464
P  0.9536  0.9536  0.9536
Se  0.6034  0.6034  0.6034
Se  0.3966  0.3966  0.3966

Output
volume	32.22	Å³ per atom
E above lowest polymorph	0.3424	eV per atom
formation energy (no corrections)	262	meV per atom

The following is a PBE calculation of a geometry-optimized LiTaInCo structure, from Alexandria via LeMat-Bulk.

Cell: 4.3547 4.3547 4.3547 Å, 60.00 60.00 60.00°
Atoms (fractional coordinates):
Li  0.0000  0.0000  0.0000
In  0.2500  0.2500  0.2500
Ta  0.7500  0.7500  0.7500
Co  0.5000  0.5000  0.5000

Output
volume	14.60	Å³ per atom
calculated formation energy	-38	kJ/mol of formula units

The following is a PBE calculation of a geometry-optimized YSe structure, from Alexandria via LeMat-Bulk.

Cell: 8.8325 8.8325 8.8325 Å, 90.00 90.00 90.00°
Each line ends with the local moment (μB).
Atoms (fractional coordinates):
Y  0.1393  0.8607  0.1393  0.30
Y  0.8607  0.8607  0.8607  0.30
Y  0.3607  0.6393  0.6393  0.30
Y  0.3607  0.3607  0.3607  0.30
Y  0.1393  0.1393  0.8607  0.30
Y  0.6393  0.6393  0.3607  0.30
Y  0.8607  0.1393  0.1393  0.30
Y  0.6393  0.3607  0.6393  0.30
Se  0.1753  0.8247  0.8247  -0.02
Se  0.3247  0.3247  0.6753  -0.02
Se  0.6753  0.6753  0.6753  -0.02
Se  0.1753  0.1753  0.1753  -0.02
Se  0.8247  0.1753  0.8247  -0.02
Se  0.8247  0.8247  0.1753  -0.02
Se  0.3247  0.6753  0.3247  -0.02
Se  0.6753  0.3247  0.3247  -0.02

Output
volume	43.07	Å³ per atom
formation energy (no corrections)	-1234	meV per atom

The following is a PBE calculation of a geometry-optimized Pr3Sm7Dy structure, from Alexandria via LeMat-Bulk.

Cell: 8.8145 7.2089 7.2087 Å, 120.00 90.00 90.00°
Atoms (fractional coordinates):
Sm  0.1232  0.6667  0.3333
Sm  0.4482  0.8328  0.6656
Sm  0.4482  0.8328  0.1672
Sm  0.1189  0.1674  0.8326
Sm  0.1189  0.6653  0.8326
Sm  0.1189  0.1674  0.3347
Sm  0.4482  0.3344  0.1672
Pr  0.7825  0.0005  0.5002
Pr  0.7825  0.4998  0.9995
Pr  0.7825  0.4998  0.5002
Dy  0.4429  0.3333  0.6667

Output
volume	36.06	Å³ per atom
E above lowest polymorph	0.0000	eV per atom
calculated formation energy	177	kJ/mol of formula units

The following is a PBE calculation of a geometry-optimized MnGePt4 structure, from Alexandria via LeMat-Bulk.

Cell: 5.2668 5.1296 7.6050 Å, 85.78 110.28 90.15°
Each line ends with the local moment (μB).
Atoms (fractional coordinates):
Pt  0.7009  0.3827  0.1676  0.12
Pt  0.5339  0.1175  0.8321  0.13
Pt  0.7007  0.5527  0.6762  0.06
Pt  0.2993  0.4473  0.3238  0.06
Pt  0.2991  0.6173  0.8324  0.12
Pt  0.9760  0.0522  0.6766  0.06
Pt  0.0240  0.9478  0.3234  0.06
Pt  0.4661  0.8825  0.1679  0.13
Ge  0.0000  0.5000  0.5000  -0.01
Ge  0.5000  0.0000  0.5000  -0.01
Mn  0.8930  0.7500  0.9997  3.78
Mn  0.1070  0.2500  0.0003  3.78

Output
volume	16.01	Å³ per atom
calculated formation energy	-131	kJ/mol of formula units

The following is a PBE calculation of a geometry-optimized ReBCl2 structure, from Alexandria via LeMat-Bulk.

Cell: 10.5882 10.5882 10.5882 Å, 15.64 15.64 15.64°
Each line ends with the local moment (μB).
Atoms (fractional coordinates):
Re  0.5000  0.5000  0.5000  0.70
Cl  0.9470  0.9470  0.9470  -0.01
Cl  0.0530  0.0530  0.0530  -0.01
B  0.0000  0.0000  0.0000  -0.06

Output
volume	18.79	Å³ per atom
E above lowest polymorph	0.0000	eV per atom
formation energy (no corrections)	1144	meV per atom

The following is a PBE calculation of a geometry-optimized TbPa2Sn structure, from Alexandria via LeMat-Bulk.

Cell: 5.1530 4.4602 4.4602 Å, 90.00 90.00 90.00°
Atoms (fractional coordinates):
Pa  0.0000  0.0000  0.5000
Pa  0.0000  0.5000  0.0000
Sn  0.5000  0.0000  0.0000
Tb  0.5000  0.5000  0.5000

Output
volume	25.63	Å³ per atom
E above lowest polymorph	0.0000	eV per atom
calculated formation energy	-73	kJ/mol of formula units

The following is a PBE calculation of a geometry-optimized Nd6CuSn2 structure, from Alexandria via LeMat-Bulk.

Cell: 4.3633 8.4723 8.4732 Å, 120.00 90.00 90.00°
Atoms (fractional coordinates):
Nd  0.5000  0.9999  0.5842
Nd  0.5000  0.5841  0.0000
Nd  0.5000  0.4157  0.4158
Nd  0.0000  0.0001  0.2424
Nd  0.0000  0.2424  0.0000
Nd  0.0000  0.7577  0.7576
Sn  0.0000  0.6666  0.3333
Sn  0.0000  0.3333  0.6667
Cu  0.5000  0.0001  0.0000

Output
volume	30.14	Å³ per atom
calculated formation energy	-346	kJ/mol of formula units

The following is a PBE calculation of a geometry-optimized K2RbYI6 structure, from Alexandria via LeMat-Bulk.

Cell: 9.1644 9.1644 9.1644 Å, 60.00 60.00 60.00°
Atoms (fractional coordinates):
I  0.7671  0.2329  0.7671
I  0.7671  0.2329  0.2329
I  0.2329  0.7671  0.7671
I  0.2329  0.7671  0.2329
I  0.7671  0.7671  0.2329
I  0.2329  0.2329  0.7671
Rb  0.5000  0.5000  0.5000
K  0.7500  0.7500  0.7500
K  0.2500  0.2500  0.2500
Y  0.0000  0.0000  0.0000

Output
volume	54.42	Å³ per atom
E above lowest polymorph	0.0955	eV per atom
formation energy (no corrections)	-1358	meV per atom

The following is a PBE calculation of a geometry-optimized U3Co7B2 structure, from Alexandria via LeMat-Bulk.

Cell: 4.9540 4.9540 13.9481 Å, 90.00 90.00 120.00°
Each line ends with the local moment (μB).
Atoms (fractional coordinates):
Co  0.6697  0.8349  0.8534  -0.15
Co  0.1651  0.8349  0.6466  -0.15
Co  0.0000  0.0000  0.0000  -0.22
Co  0.1651  0.3303  0.8534  -0.15
Co  0.8349  0.1651  0.3534  -0.15
Co  0.3303  0.1651  0.3534  -0.15
Co  0.8349  0.1651  0.1466  -0.15
Co  0.1651  0.8349  0.8534  -0.15
Co  0.1651  0.3303  0.6466  -0.15
Co  0.8349  0.6697  0.1466  -0.15
Co  0.8349  0.6697  0.3534  -0.15
Co  0.6697  0.8349  0.6466  -0.15
Co  0.0000  0.0000  0.5000  -0.22
Co  0.3303  0.1651  0.1466  -0.15
U  0.3333  0.6667  0.0300  1.35
U  0.6667  0.3333  0.7500  0.95
U  0.3333  0.6667  0.4700  1.35
U  0.6667  0.3333  0.5300  1.35
U  0.3333  0.6667  0.2500  0.95
U  0.6667  0.3333  0.9700  1.35
B  0.0000  0.0000  0.2500  0.00
B  0.3333  0.6667  0.7500  0.00
B  0.6667  0.3333  0.2500  0.00
B  0.0000  0.0000  0.7500  0.00

Output
volume	12.35	Å³ per atom
calculated formation energy	-418	kJ/mol of formula units

The following is a PBE calculation of a geometry-optimized Pr2Sm2Ho3 structure, from Alexandria via LeMat-Bulk.

Cell: 3.5176 8.8327 8.6613 Å, 115.98 101.72 90.00°
Atoms (fractional coordinates):
Ho  0.7800  0.3554  0.5600
Ho  0.2200  0.6446  0.4400
Ho  0.0000  0.5000  0.0000
Sm  0.3603  0.0936  0.7205
Sm  0.6397  0.9064  0.2795
Pr  0.0800  0.2047  0.1600
Pr  0.9200  0.7953  0.8400

Output
volume	33.66	Å³ per atom
E above lowest polymorph	0.1140	eV per atom
calculated formation energy	89	kJ/mol of formula units

The following is a PBE calculation of a geometry-optimized CaMgZr2 structure, from Alexandria via LeMat-Bulk.

Cell: 3.2081 3.2081 10.2729 Å, 90.00 90.00 90.21°
Atoms (fractional coordinates):
Ca  0.0000  0.0000  0.5044
Zr  0.0000  0.0000  0.0109
Zr  0.5000  0.5000  0.2170
Mg  0.5000  0.5000  0.7676

Output
volume	26.43	Å³ per atom
calculated formation energy	33	kJ/mol of formula units

The following is a PBE calculation of a geometry-optimized Cd2Ag7Pd structure, from Alexandria via LeMat-Bulk.

Cell: 2.8666 9.4575 9.4575 Å, 124.25 90.00 90.00°
Atoms (fractional coordinates):
Ag  0.5000  0.8599  0.6876
Ag  0.5000  0.3124  0.1401
Ag  0.5000  0.5000  0.5000
Ag  0.0000  0.8251  0.1749
Ag  0.5000  0.6876  0.8599
Ag  0.5000  0.1401  0.3124
Ag  0.0000  0.1749  0.8251
Cd  0.5000  0.6778  0.3222
Cd  0.5000  0.3222  0.6778
Pd  0.0000  0.0000  0.0000

Output
volume	21.19	Å³ per atom
calculated formation energy	126	kJ/mol of formula units

The following is a PBE calculation of a geometry-optimized GaAg2Mo structure, from Alexandria via LeMat-Bulk.

Cell: 3.7585 3.7585 10.5289 Å, 79.72 79.72 90.00°
Each line ends with the local moment (μB).
Atoms (fractional coordinates):
Mo  0.0000  0.0000  0.0000  0.45
Mo  0.7500  0.2500  0.5000  0.45
Ag  0.1262  0.6250  0.2500  0.01
Ag  0.3750  0.3762  0.7500  0.01
Ag  0.8750  0.8738  0.7500  0.01
Ag  0.6238  0.1250  0.2500  0.01
Ga  0.5000  0.5000  0.0000  -0.02
Ga  0.2500  0.7500  0.5000  -0.02

Output
volume	17.99	Å³ per atom
calculated formation energy	201	kJ/mol of formula units

The following is a PBE calculation of a geometry-optimized Ac3Rh5Pb6 structure, from Alexandria via LeMat-Bulk.

Cell: 4.4688 10.5095 14.6911 Å, 90.00 90.00 90.00°
Atoms (fractional coordinates):
Rh  0.0000  0.5542  0.8917
Rh  0.0000  0.8446  0.3456
Rh  0.5000  0.1554  0.8456
Rh  0.5000  0.1554  0.1544
Rh  0.0000  0.7969  0.0000
Rh  0.0000  0.5542  0.1083
Rh  0.5000  0.4458  0.6083
Rh  0.5000  0.4458  0.3917
Rh  0.5000  0.2031  0.5000
Rh  0.0000  0.8446  0.6544
Ac  0.5000  0.7233  0.5000
Ac  0.5000  0.7514  0.8006
Ac  0.5000  0.7514  0.1994
Ac  0.0000  0.2486  0.6994
Ac  0.0000  0.2767  0.0000
Ac  0.0000  0.2486  0.3006
Pb  0.0000  0.3874  0.5000
Pb  0.0000  0.9889  0.8422
Pb  0.0000  0.5818  0.3241
Pb  0.5000  0.4182  0.8241
Pb  0.0000  0.0220  0.5000
Pb  0.5000  0.9780  0.0000
Pb  0.5000  0.4182  0.1759
Pb  0.0000  0.9889  0.1578
Pb  0.5000  0.0111  0.6578
Pb  0.0000  0.5818  0.6759
Pb  0.5000  0.6126  0.0000
Pb  0.5000  0.0111  0.3422

Output
volume	24.64	Å³ per atom
calculated formation energy	-533	kJ/mol of formula units

The following is a PBE calculation of a geometry-optimized Cs2Ba2Ge structure, from Alexandria via LeMat-Bulk.

Cell: 9.0318 9.0318 8.0456 Å, 90.00 90.00 90.00°
Atoms (fractional coordinates):
Cs  0.1874  0.3126  0.5000
Cs  0.3126  0.8126  0.5000
Cs  0.8126  0.6874  0.5000
Cs  0.6874  0.1874  0.5000
Ba  0.6770  0.8230  0.0000
Ba  0.1770  0.6770  0.0000
Ba  0.8230  0.3230  0.0000
Ba  0.3230  0.1770  0.0000
Ge  0.0000  0.0000  0.0000
Ge  0.5000  0.5000  0.0000

Output
volume	65.63	Å³ per atom
calculated formation energy	22	kJ/mol of formula units

The following is a PBE calculation of a geometry-optimized Ca2Ac6CoOs structure, from Alexandria via LeMat-Bulk.

Cell: 8.2675 8.2675 8.2641 Å, 119.95 119.95 90.03°
Atoms (fractional coordinates):
Ca  0.2499  0.7502  0.4996
Ca  0.7497  0.2504  0.4996
Ac  0.7522  0.7527  0.5041
Ac  0.7520  0.2482  0.9997
Ac  0.2477  0.2482  0.4956
Ac  0.7522  0.7527  0.9998
Ac  0.2475  0.2480  0.9997
Ac  0.2477  0.7525  0.9997
Os  0.4999  0.5004  0.9998
Co  0.0001  0.0006  0.0002

Output
volume	39.99	Å³ per atom
calculated formation energy	-31	kJ/mol of formula units